[1]
# Ho3AlSi2Pt9 | Alexandria | PBE-GGA | optimized geometry
# Space group: P-3m1, No. 164
# Calculated density in g cm⁻³: 12.544
# Fermi-level density of states in states/eV per cell: 5.205
# Energy relative to the elements, uncorrected in eV per atom: -0.786
data_Ho3AlSi2Pt9
_cell_length_a 6.327
_cell_length_b 6.327
_cell_length_c 8.910
_cell_angle_alpha 90.00
_cell_angle_beta 90.00
_cell_angle_gamma 120.00
_space_group_name_H-M_alt 'P 1'
_space_group_IT_number 1
loop_
_space_group_symop_operation_xyz
'x,y,z'
loop_
_atom_site_label
_atom_site_type_symbol
_atom_site_fract_x
_atom_site_fract_y
_atom_site_fract_z
_atom_site_occupancy
Ho1 Ho 0.000 0.000 0.000 1
Ho2 Ho 0.333 0.667 0.724 1
Ho3 Ho 0.667 0.333 0.276 1
Al1 Al 0.000 0.000 0.500 1
Si1 Si 0.333 0.667 0.183 1
Si2 Si 0.667 0.333 0.817 1
Pt1 Pt 0.000 0.500 0.000 1
Pt2 Pt 0.142 0.285 0.279 1
Pt3 Pt 0.142 0.858 0.279 1
Pt4 Pt 0.285 0.142 0.721 1
Pt5 Pt 0.500 0.000 0.000 1
Pt6 Pt 0.500 0.500 0.000 1
Pt7 Pt 0.715 0.858 0.279 1
Pt8 Pt 0.858 0.142 0.721 1
Pt9 Pt 0.858 0.715 0.721 1

[2]
# AgH2OsBr | Alexandria | PBE-GGA | optimized geometry
# Space group: P4/mmm, No. 123
# Calculated density in g cm⁻³: 5.931
# Fermi-level density of states in states/eV per cell: 3.355
# Electronic total energy in eV per atom: -2.996
data_AgH2OsBr
_cell_length_a 3.674
_cell_length_b 3.674
_cell_length_c 7.882
_cell_angle_alpha 90.00
_cell_angle_beta 90.00
_cell_angle_gamma 90.00
_space_group_name_H-M_alt 'P 1'
_space_group_IT_number 1
loop_
_space_group_symop_operation_xyz
'x,y,z'
loop_
_atom_site_label
_atom_site_type_symbol
_atom_site_fract_x
_atom_site_fract_y
_atom_site_fract_z
_atom_site_occupancy
Ag1 Ag 0.000 0.000 0.000 1
H1 H 0.000 0.500 0.500 1
H2 H 0.500 0.000 0.500 1
Os1 Os 0.500 0.500 0.000 1
Br1 Br 0.000 0.000 0.500 1

[3]
# Ba6AgIr2 | Alexandria | PBE-GGA | optimized geometry
# Space group: P-31m, No. 162
# Calculated density in g cm⁻³: 5.255
# Fermi-level density of states in states/eV per cell: 6.166
# Energy of formation from the pure elements in eV/atom: -0.15
data_Ba6AgIr2
_cell_length_a 7.916
_cell_length_b 7.916
_cell_length_c 7.665
_cell_angle_alpha 90.00
_cell_angle_beta 90.00
_cell_angle_gamma 120.00
_space_group_name_H-M_alt 'P 1'
_space_group_IT_number 1
loop_
_space_group_symop_operation_xyz
'x,y,z'
loop_
_atom_site_label
_atom_site_type_symbol
_atom_site_fract_x
_atom_site_fract_y
_atom_site_fract_z
_atom_site_occupancy
Ba1 Ba 0.000 0.353 0.224 1
Ba2 Ba 0.000 0.647 0.776 1
Ba3 Ba 0.353 0.000 0.224 1
Ba4 Ba 0.353 0.353 0.776 1
Ba5 Ba 0.647 0.000 0.776 1
Ba6 Ba 0.647 0.647 0.224 1
Ag1 Ag 0.000 0.000 0.500 1
Ir1 Ir 0.333 0.667 0.000 1
Ir2 Ir 0.667 0.333 0.000 1

[4]
# ReTcRu | Alexandria | PBE-GGA | optimized geometry
# Space group: P-6m2, No. 187
# Calculated density in g cm⁻³: 14.468
# Fermi-level density of states in states/eV per cell: 2.259
# Energy relative to the lowest polymorph listed for this composition in eV/atom: 0.052
# Energy of formation from the pure elements in eV/atom: 0.10
data_ReTcRu
_cell_length_a 4.341
_cell_length_b 4.341
_cell_length_c 2.709
_cell_angle_alpha 90.00
_cell_angle_beta 90.00
_cell_angle_gamma 120.00
_space_group_name_H-M_alt 'P 1'
_space_group_IT_number 1
loop_
_space_group_symop_operation_xyz
'x,y,z'
loop_
_atom_site_label
_atom_site_type_symbol
_atom_site_fract_x
_atom_site_fract_y
_atom_site_fract_z
_atom_site_occupancy
Re1 Re 0.000 0.000 0.000 1
Tc1 Tc 0.333 0.667 0.000 1
Ru1 Ru 0.667 0.333 0.500 1

[5]
# CsNa2CrSe | Alexandria | PBE-GGA | optimized geometry
# Space group: P4/mmm, No. 123
# Calculated density in g cm⁻³: 2.887
# Fermi-level density of states in states/eV per cell: 2.177
# Energy relative to the elements, uncorrected in eV per atom: 0.015
data_CsNa2CrSe
_cell_length_a 6.018
_cell_length_b 6.018
_cell_length_c 4.920
_cell_angle_alpha 90.00
_cell_angle_beta 90.00
_cell_angle_gamma 90.00
_space_group_name_H-M_alt 'P 1'
_space_group_IT_number 1
loop_
_space_group_symop_operation_xyz
'x,y,z'
loop_
_atom_site_label
_atom_site_type_symbol
_atom_site_fract_x
_atom_site_fract_y
_atom_site_fract_z
_atom_site_occupancy
Cs1 Cs 0.000 0.000 0.000 1
Na1 Na 0.000 0.500 0.500 1
Na2 Na 0.500 0.000 0.500 1
Cr1 Cr 0.500 0.500 0.500 1
Se1 Se 0.500 0.500 0.000 1

[6]
# Tb3EuRh | Alexandria | PBE-GGA | optimized geometry
# Space group: Pm-3m, No. 221
# Calculated density in g cm⁻³: 7.338
# Fermi-level density of states in states/eV per cell: 5.713
# Energy of formation from the pure elements in eV/atom: -0.29
data_Tb3EuRh
_cell_length_a 5.491
_cell_length_b 5.491
_cell_length_c 5.491
_cell_angle_alpha 90.00
_cell_angle_beta 90.00
_cell_angle_gamma 90.00
_space_group_name_H-M_alt 'P 1'
_space_group_IT_number 1
loop_
_space_group_symop_operation_xyz
'x,y,z'
loop_
_atom_site_label
_atom_site_type_symbol
_atom_site_fract_x
_atom_site_fract_y
_atom_site_fract_z
_atom_site_occupancy
Tb1 Tb 0.000 0.000 0.500 1
Tb2 Tb 0.000 0.500 0.000 1
Tb3 Tb 0.500 0.000 0.000 1
Eu1 Eu 0.500 0.500 0.500 1
Rh1 Rh 0.000 0.000 0.000 1

[7]
# CeHo7Tl5 | Alexandria | PBE-GGA | optimized geometry
# Space group: Imm2, No. 44
# Calculated density in g cm⁻³: 10.086
# Fermi-level density of states in states/eV per cell: 21.487
# Energy of formation from the pure elements in eV/atom: -0.12
data_CeHo7Tl5
_cell_length_a 8.320
_cell_length_b 8.320
_cell_length_c 8.320
_cell_angle_alpha 134.00
_cell_angle_beta 98.89
_cell_angle_gamma 98.68
_space_group_name_H-M_alt 'P 1'
_space_group_IT_number 1
loop_
_space_group_symop_operation_xyz
'x,y,z'
loop_
_atom_site_label
_atom_site_type_symbol
_atom_site_fract_x
_atom_site_fract_y
_atom_site_fract_z
_atom_site_occupancy
Ce1 Ce 0.000 0.000 0.000 1
Ho1 Ho 0.169 0.474 0.695 1
Ho2 Ho 0.217 0.717 0.500 1
Ho3 Ho 0.332 0.990 0.342 1
Ho4 Ho 0.346 0.346 0.000 1
Ho5 Ho 0.648 0.990 0.658 1
Ho6 Ho 0.659 0.659 0.000 1
Ho7 Ho 0.779 0.474 0.305 1
Tl1 Tl 0.470 0.481 0.491 1
Tl2 Tl 0.470 0.979 0.989 1
Tl3 Tl 0.749 0.249 0.500 1
Tl4 Tl 0.990 0.481 0.011 1
Tl5 Tl 0.990 0.979 0.509 1

[8]
# NdNiC | Alexandria | PBE-GGA | optimized geometry
# Space group: Cmmm, No. 65
# Calculated density in g cm⁻³: 7.047
# Fermi-level density of states in states/eV per cell: 6.291
# Energy relative to the lowest polymorph listed for this composition in eV/atom: 0.080
# Energy of formation from the pure elements in eV/atom: -0.09
data_NdNiC
_cell_length_a 4.492
_cell_length_b 12.438
_cell_length_c 3.626
_cell_angle_alpha 90.00
_cell_angle_beta 90.00
_cell_angle_gamma 90.00
_space_group_name_H-M_alt 'P 1'
_space_group_IT_number 1
loop_
_space_group_symop_operation_xyz
'x,y,z'
loop_
_atom_site_label
_atom_site_type_symbol
_atom_site_fract_x
_atom_site_fract_y
_atom_site_fract_z
_atom_site_occupancy
Nd1 Nd 0.000 0.149 0.000 1
Nd2 Nd 0.000 0.851 0.000 1
Nd3 Nd 0.500 0.351 0.000 1
Nd4 Nd 0.500 0.649 0.000 1
Ni1 Ni 0.000 0.404 0.500 1
Ni2 Ni 0.000 0.596 0.500 1
Ni3 Ni 0.500 0.096 0.500 1
Ni4 Ni 0.500 0.904 0.500 1
C1 C 0.153 0.000 0.500 1
C2 C 0.347 0.500 0.500 1
C3 C 0.653 0.500 0.500 1
C4 C 0.847 0.000 0.500 1

[9]
# CuGeSeO6 | Alexandria | PBE-GGA | optimized geometry
# Space group: P-31c, No. 163
# Calculated density in g cm⁻³: 5.531
# Fermi-level density of states in states/eV per cell: 6.357
# Energy relative to the elements, uncorrected in eV per atom: -0.799
data_CuGeSeO6
_cell_length_a 4.889
_cell_length_b 4.889
_cell_length_c 9.024
_cell_angle_alpha 90.00
_cell_angle_beta 90.00
_cell_angle_gamma 120.00
_space_group_name_H-M_alt 'P 1'
_space_group_IT_number 1
loop_
_space_group_symop_operation_xyz
'x,y,z'
loop_
_atom_site_label
_atom_site_type_symbol
_atom_site_fract_x
_atom_site_fract_y
_atom_site_fract_z
_atom_site_occupancy
Cu1 Cu 0.000 0.000 0.000 1
Cu2 Cu 0.000 0.000 0.500 1
Ge1 Ge 0.333 0.667 0.250 1
Ge2 Ge 0.667 0.333 0.750 1
Se1 Se 0.333 0.667 0.750 1
Se2 Se 0.667 0.333 0.250 1
O1 O 0.012 0.367 0.636 1
O2 O 0.012 0.644 0.864 1
O3 O 0.356 0.367 0.864 1
O4 O 0.356 0.988 0.636 1
O5 O 0.367 0.012 0.136 1
O6 O 0.367 0.356 0.364 1
O7 O 0.633 0.644 0.636 1
O8 O 0.633 0.988 0.864 1
O9 O 0.644 0.012 0.364 1
O10 O 0.644 0.633 0.136 1
O11 O 0.988 0.356 0.136 1
O12 O 0.988 0.633 0.364 1

[10]
# La5Pm3Te8 | Alexandria | PBE-GGA | optimized geometry
# Space group: R-3m, No. 166
# Calculated density in g cm⁻³: 6.747
# Fermi-level density of states in states/eV per cell: 12.946
# Energy relative to the elements, uncorrected in eV per atom: -1.524
data_La5Pm3Te8
_cell_length_a 9.068
_cell_length_b 9.068
_cell_length_c 9.068
_cell_angle_alpha 60.17
_cell_angle_beta 60.17
_cell_angle_gamma 60.17
_space_group_name_H-M_alt 'P 1'
_space_group_IT_number 1
loop_
_space_group_symop_operation_xyz
'x,y,z'
loop_
_atom_site_label
_atom_site_type_symbol
_atom_site_fract_x
_atom_site_fract_y
_atom_site_fract_z
_atom_site_occupancy
La1 La 0.000 0.000 0.000 1
La2 La 0.000 0.500 0.500 1
La3 La 0.500 0.000 0.500 1
La4 La 0.500 0.500 0.000 1
La5 La 0.500 0.500 0.500 1
Pm1 Pm 0.000 0.000 0.500 1
Pm2 Pm 0.000 0.500 0.000 1
Pm3 Pm 0.500 0.000 0.000 1
Te1 Te 0.245 0.750 0.750 1
Te2 Te 0.248 0.248 0.248 1
Te3 Te 0.250 0.250 0.755 1
Te4 Te 0.250 0.755 0.250 1
Te5 Te 0.750 0.245 0.750 1
Te6 Te 0.750 0.750 0.245 1
Te7 Te 0.752 0.752 0.752 1
Te8 Te 0.755 0.250 0.250 1

[11]
# LiTa2Te | Alexandria | PBE-GGA | optimized geometry
# Space group: P4/mmm, No. 123
# Calculated density in g cm⁻³: 11.391
# Fermi-level density of states in states/eV per cell: 1.734
# Energy relative to the elements, uncorrected in eV per atom: 0.215
data_LiTa2Te
_cell_length_a 3.985
_cell_length_b 3.985
_cell_length_c 4.556
_cell_angle_alpha 90.00
_cell_angle_beta 90.00
_cell_angle_gamma 90.00
_space_group_name_H-M_alt 'P 1'
_space_group_IT_number 1
loop_
_space_group_symop_operation_xyz
'x,y,z'
loop_
_atom_site_label
_atom_site_type_symbol
_atom_site_fract_x
_atom_site_fract_y
_atom_site_fract_z
_atom_site_occupancy
Li1 Li 0.000 0.000 0.000 1
Ta1 Ta 0.000 0.500 0.500 1
Ta2 Ta 0.500 0.000 0.500 1
Te1 Te 0.500 0.500 0.000 1

[12]
# Ti4HgS8 | Alexandria | PBE-GGA | optimized geometry
# Space group: F-43m, No. 216
# Calculated density in g cm⁻³: 4.006
# Fermi-level density of states in states/eV per cell: 7.421
# Energy relative to the lowest polymorph listed for this composition in eV/atom: 0.045
# Energy relative to the elements, uncorrected in eV per atom: -1.127
data_Ti4HgS8
_cell_length_a 7.245
_cell_length_b 7.245
_cell_length_c 7.245
_cell_angle_alpha 60.00
_cell_angle_beta 60.00
_cell_angle_gamma 60.00
_space_group_name_H-M_alt 'P 1'
_space_group_IT_number 1
loop_
_space_group_symop_operation_xyz
'x,y,z'
loop_
_atom_site_label
_atom_site_type_symbol
_atom_site_fract_x
_atom_site_fract_y
_atom_site_fract_z
_atom_site_occupancy
Ti1 Ti 0.116 0.116 0.116 1
Ti2 Ti 0.116 0.116 0.652 1
Ti3 Ti 0.116 0.652 0.116 1
Ti4 Ti 0.652 0.116 0.116 1
Hg1 Hg 0.500 0.500 0.500 1
S1 S 0.359 0.880 0.880 1
S2 S 0.360 0.360 0.360 1
S3 S 0.360 0.360 0.921 1
S4 S 0.360 0.921 0.360 1
S5 S 0.880 0.359 0.880 1
S6 S 0.880 0.880 0.359 1
S7 S 0.880 0.880 0.880 1
S8 S 0.921 0.360 0.360 1